Material: NaCd8In2
Method: DFT, PBE
State: relaxed

a = 8.0571 Å, b = 16.1923 Å, c = 5.6505 Å
α = 90.00°, β = 131.23°, γ = 90.00°
Space group C2/m (No. 12)
Asymmetric unit:
1 Na 0.0000 0.0000 0.0000 (multiplicity 2)
2 Cd 0.0000 0.2022 0.0000 (multiplicity 4)
3 Cd 0.0102 0.5000 0.2612 (multiplicity 4)
4 Cd 0.2347 0.1354 0.7508 (multiplicity 8)
5 In 0.0000 0.3229 0.5000 (multiplicity 4)

Results
Total magnetization = 0.0 μB/f.u.
DOS at the Fermi energy = 0.205 states/eV per atom
Total energy = -1.284 eV/atom
Energy of formation from the pure elements = 0.000 eV/atom
Density = 6900 kg/m³

***

Material: DyThSc2
Method: DFT, PBE
State: relaxed

a = 4.9540 Å, b = 4.9540 Å, c = 4.5630 Å
α = 90.00°, β = 90.00°, γ = 90.00°
Space group P4/mmm (No. 123)
Asymmetric unit:
1 Dy 0.0000 0.0000 0.0000 (multiplicity 1)
2 Th 0.5000 0.5000 0.0000 (multiplicity 1)
3 Sc 0.0000 0.5000 0.5000 (multiplicity 2)

Results
Total magnetization = 0.0 μB/f.u.
DOS at the Fermi energy = 1.431 states/eV per atom
Total energy = -6.135 eV/atom
Energy of formation from the pure elements = 0.036 eV/atom
Relative energy among the computed polymorphs = 0.0179 eV per atom
Density = 7183 kg/m³

***

Material: MnMo3Cl
Method: DFT, PBE
State: relaxed

a = 4.5403 Å, b = 4.5403 Å, c = 4.5403 Å
α = 90.00°, β = 90.00°, γ = 90.00°
Space group Pm-3m (No. 221)
Asymmetric unit:
1 Mn 0.0000 0.0000 0.0000 (multiplicity 1)
2 Mo 0.0000 0.0000 0.5000 (multiplicity 3)
3 Cl 0.5000 0.5000 0.5000 (multiplicity 1)

Results
Total magnetization = 0.0 μB/f.u.
DOS at the Fermi energy = 1.313 states/eV per atom
Total energy = -7.203 eV/atom
Energy relative to the elements, uncorrected = 1.499 eV per atom
Relative energy among the computed polymorphs = 0.1218 eV per atom
Density = 6710 kg/m³

***

Q: total magnetization of number 2 (DyThSc2)?
A: 0.0 μB/f.u.

***

Q: Look up the density of the second one.
A: 7183 kg/m³

***

Q: What is the formula in the second record?
A: DyThSc2